The following is a PBE calculation of an optimized crystal structure of CrSiBr2, from Alexandria via LeMat-Bulk.

a b c (Å): 6.6212 6.6212 6.6212
angles (deg): 90.00 90.00 90.00
Space group Fm-3m (No. 225)
One atom of each set of equivalent atoms:
Cr 0.0000 0.0000 0.0000 [4 per cell]
Si 0.0000 0.0000 0.5000 [4 per cell]
Br 0.2500 0.2500 0.2500 [8 per cell]

***

The following is a PBE calculation of an optimized crystal structure of CrSi2Br, from Alexandria via LeMat-Bulk.

a b c (Å): 8.0681 3.6929 6.5955
angles (deg): 90.00 114.46 90.00
Space group C2/m (No. 12)
One atom of each set of equivalent atoms:
Cr 0.0000 0.0000 0.0000 [2 per cell]
Si 0.2322 0.5000 0.1045 [4 per cell]
Br 0.0000 0.0000 0.5000 [2 per cell]

***

no.,energy relative to the lowest polymorph listed for this composition (meV/atom),raw formation energy (eV/atom),ρ (g/cm³)
1,1036,0.960,5.49
2,107,0.212,3.49